[1]
LaReOs2: optimized geometry, PBE-GGA. Values from VASP.

Geometry as Quantum ESPRESSO input:
```
&SYSTEM
  ibrav = 0, nat = 4, ntyp = 3
/
ATOMIC_SPECIES
La 138.91 La.upf
Os 190.23 Os.upf
Re 186.21 Re.upf
CELL_PARAMETERS angstrom
5.733 0.005 0.006
2.776 5.016 -0.006
-3.531 -3.737 2.537
ATOMIC_POSITIONS crystal
La 0.250 0.750 0.500
Os 0.970 0.970 0.000
Os 0.530 0.530 0.000
Re 0.750 0.250 0.500
```

E, eV for the cell shown: -37.30
Magnetic moment, μB/atom: 0.000
Symmetry: Immm, No. 71
E_form, eV/atom: 0.634
Volume, Å³ per cell: 72.8
Relative energy among the computed polymorphs, kJ/mol of formula units: 145.8

[2]
La2ReOs: optimized geometry, PBE-GGA. Values from VASP.

Geometry as Quantum ESPRESSO input:
```
&SYSTEM
  ibrav = 0, nat = 4, ntyp = 3
/
ATOMIC_SPECIES
La 138.91 La.upf
Os 190.23 Os.upf
Re 186.21 Re.upf
CELL_PARAMETERS angstrom
4.793 0.000 0.000
0.000 3.101 -0.014
0.000 0.623 5.636
ATOMIC_POSITIONS crystal
La 0.000 0.000 0.002
La 0.000 0.500 0.498
Os 0.500 0.250 0.250
Re 0.500 0.750 0.750
```

E, eV for the cell shown: -31.13
Magnetic moment, μB/atom: 0.000
Symmetry: P2/m, No. 10
E_form, eV/atom: 0.601
Volume, Å³ per cell: 83.8
Relative energy among the computed polymorphs, kJ/mol of formula units: 229.7

[3]
LaReOs2: optimized geometry, PBE-GGA. Values from VASP.

Geometry as Quantum ESPRESSO input:
```
&SYSTEM
  ibrav = 0, nat = 4, ntyp = 3
/
ATOMIC_SPECIES
La 138.91 La.upf
Os 190.23 Os.upf
Re 186.21 Re.upf
CELL_PARAMETERS angstrom
2.865 0.000 0.000
0.000 2.865 0.000
0.000 0.000 8.668
ATOMIC_POSITIONS crystal
La 0.500 0.500 0.752
Os 0.000 0.000 0.046
Os 0.500 0.500 0.245
Re 0.000 0.000 0.456
```

E, eV for the cell shown: -38.05
Magnetic moment, μB/atom: 0.000
Symmetry: P4mm, No. 99
E_form, eV/atom: 0.445
Volume, Å³ per cell: 71.2
Relative energy among the computed polymorphs, kJ/mol of formula units: 72.8

[4]
LaReOs2: optimized geometry, PBE-GGA. Values from VASP.

Geometry as Quantum ESPRESSO input:
```
&SYSTEM
  ibrav = 0, nat = 4, ntyp = 3
/
ATOMIC_SPECIES
La 138.91 La.upf
Os 190.23 Os.upf
Re 186.21 Re.upf
CELL_PARAMETERS angstrom
-0.542 2.605 4.002
0.215 -3.542 3.241
3.258 0.826 -3.436
ATOMIC_POSITIONS crystal
La 0.750 0.250 0.500
Os 0.000 0.000 0.000
Os 0.500 0.500 0.000
Re 0.250 0.750 0.500
```

E, eV for the cell shown: -36.84
Magnetic moment, μB/atom: 0.000
Symmetry: I4/mmm, No. 139
E_form, eV/atom: 0.749
Volume, Å³ per cell: 71.2
Relative energy among the computed polymorphs, kJ/mol of formula units: 190.2

[5]
LaRe2Os2: optimized geometry, PBE-GGA. Values from VASP.

Geometry as Quantum ESPRESSO input:
```
&SYSTEM
  ibrav = 0, nat = 5, ntyp = 3
/
ATOMIC_SPECIES
Re 186.21 Re.upf
Os 190.23 Os.upf
La 138.91 La.upf
CELL_PARAMETERS angstrom
-2.704 -3.393 0.610
2.286 -1.185 3.545
-3.244 0.659 5.020
ATOMIC_POSITIONS crystal
Re 0.750 0.250 0.500
Re 0.250 0.750 0.500
Os 0.373 0.373 0.254
Os 0.627 0.627 0.746
La 0.000 0.000 0.000
```

E, eV for the cell shown: -51.95
Magnetic moment, μB/atom: 0.000
Symmetry: I4/mmm, No. 139
E_form, eV/atom: 0.066
Volume, Å³ per cell: 98.9
Relative energy among the computed polymorphs, kJ/mol of formula units: 0.0

[6]
La2ReOs: optimized geometry, PBE-GGA. Values from VASP.

Geometry as Quantum ESPRESSO input:
```
&SYSTEM
  ibrav = 0, nat = 4, ntyp = 3
/
ATOMIC_SPECIES
La 138.91 La.upf
Os 190.23 Os.upf
Re 186.21 Re.upf
CELL_PARAMETERS angstrom
5.048 0.000 0.000
0.000 5.048 0.000
0.000 0.000 3.582
ATOMIC_POSITIONS crystal
La 0.000 0.000 0.000
La 0.500 0.500 0.000
Os 0.500 0.000 0.500
Re 0.000 0.500 0.500
```

E, eV for the cell shown: -31.38
Magnetic moment, μB/atom: 0.188
Symmetry: P4/mmm, No. 123
E_form, eV/atom: 0.539
Volume, Å³ per cell: 91.3
Relative energy among the computed polymorphs, kJ/mol of formula units: 205.8

[7]
LaReOs2: optimized geometry, PBE-GGA. Values from VASP.

Geometry as Quantum ESPRESSO input:
```
&SYSTEM
  ibrav = 0, nat = 4, ntyp = 3
/
ATOMIC_SPECIES
La 138.91 La.upf
Os 190.23 Os.upf
Re 186.21 Re.upf
CELL_PARAMETERS angstrom
3.011 0.000 0.000
0.000 3.011 0.000
0.000 0.000 7.947
ATOMIC_POSITIONS crystal
La 0.500 0.500 0.750
Os 0.000 0.000 0.049
Os 0.000 0.000 0.451
Re 0.500 0.500 0.250
```

E, eV for the cell shown: -38.81
Magnetic moment, μB/atom: 0.000
Symmetry: P4/mmm, No. 123
E_form, eV/atom: 0.256
Volume, Å³ per cell: 72.0
Relative energy among the computed polymorphs, kJ/mol of formula units: 0.0

[8]
La2ReOs: optimized geometry, PBE-GGA. Values from VASP.

Geometry as Quantum ESPRESSO input:
```
&SYSTEM
  ibrav = 0, nat = 4, ntyp = 3
/
ATOMIC_SPECIES
La 138.91 La.upf
Os 190.23 Os.upf
Re 186.21 Re.upf
CELL_PARAMETERS angstrom
-2.908 -4.197 -2.480
5.520 0.072 -1.321
1.090 -2.543 1.443
ATOMIC_POSITIONS crystal
La 0.000 0.000 0.000
La 0.500 0.500 0.000
Os 0.500 0.000 0.500
Re 0.000 0.500 0.500
```

E, eV for the cell shown: -31.16
Magnetic moment, μB/atom: 0.000
Symmetry: C2/m, No. 12
E_form, eV/atom: 0.594
Volume, Å³ per cell: 84.0
Relative energy among the computed polymorphs, kJ/mol of formula units: 226.9

[9]
La2ReOs: optimized geometry, PBE-GGA. Values from VASP.

Geometry as Quantum ESPRESSO input:
```
&SYSTEM
  ibrav = 0, nat = 4, ntyp = 3
/
ATOMIC_SPECIES
La 138.91 La.upf
Os 190.23 Os.upf
Re 186.21 Re.upf
CELL_PARAMETERS angstrom
-4.494 1.454 1.371
-3.976 -2.227 -1.850
-2.754 -2.896 2.867
ATOMIC_POSITIONS crystal
La 0.000 0.000 0.000
La 0.250 0.250 0.250
Os 0.500 0.500 0.500
Re 0.750 0.750 0.750
```

E, eV for the cell shown: -31.45
Magnetic moment, μB/atom: 0.000
Symmetry: F-43m, No. 216
E_form, eV/atom: 0.520
Volume, Å³ per cell: 84.1
Relative energy among the computed polymorphs, kJ/mol of formula units: 198.5

[10]
La2ReOs: optimized geometry, PBE-GGA. Values from VASP.

Geometry as Quantum ESPRESSO input:
```
&SYSTEM
  ibrav = 0, nat = 4, ntyp = 3
/
ATOMIC_SPECIES
La 138.91 La.upf
Os 190.23 Os.upf
Re 186.21 Re.upf
CELL_PARAMETERS angstrom
-2.177 -1.065 -1.932
1.759 -2.257 1.192
-6.053 -0.864 7.296
ATOMIC_POSITIONS crystal
La 0.000 0.000 0.003
La 0.000 0.000 0.497
Os 0.500 0.500 0.250
Re 0.500 0.500 0.750
```

E, eV for the cell shown: -31.10
Magnetic moment, μB/atom: 0.000
Symmetry: Cmmm, No. 65
E_form, eV/atom: 0.609
Volume, Å³ per cell: 84.3
Relative energy among the computed polymorphs, kJ/mol of formula units: 232.7

[11]
LaReOs2: optimized geometry, PBE-GGA. Values from VASP.

Geometry as Quantum ESPRESSO input:
```
&SYSTEM
  ibrav = 0, nat = 4, ntyp = 3
/
ATOMIC_SPECIES
La 138.91 La.upf
Os 190.23 Os.upf
Re 186.21 Re.upf
CELL_PARAMETERS angstrom
2.828 0.008 0.000
-1.263 2.531 0.000
0.000 0.000 9.646
ATOMIC_POSITIONS crystal
La 0.500 0.500 0.750
Os 0.000 0.000 0.025
Os 0.000 0.000 0.475
Re 0.500 0.500 0.250
```

E, eV for the cell shown: -37.14
Magnetic moment, μB/atom: 0.000
Symmetry: Cmmm, No. 65
E_form, eV/atom: 0.674
Volume, Å³ per cell: 69.1
Relative energy among the computed polymorphs, kJ/mol of formula units: 161.1

[12]
LaReOs2: optimized geometry, PBE-GGA. Values from VASP.

Geometry as Quantum ESPRESSO input:
```
&SYSTEM
  ibrav = 0, nat = 4, ntyp = 3
/
ATOMIC_SPECIES
Re 186.21 Re.upf
Os 190.23 Os.upf
La 138.91 La.upf
CELL_PARAMETERS angstrom
2.538 -3.778 1.036
-1.754 -3.292 2.806
-1.191 -4.162 -1.745
ATOMIC_POSITIONS crystal
Re 0.500 0.500 0.500
Os 0.250 0.250 0.250
Os 0.750 0.750 0.750
La 0.000 0.000 0.000
```

E, eV for the cell shown: -36.63
Magnetic moment, μB/atom: 0.000
Symmetry: Fm-3m, No. 225
E_form, eV/atom: 0.801
Volume, Å³ per cell: 71.9
Relative energy among the computed polymorphs, kJ/mol of formula units: 210.3